PaVFe2O6 | GGA+U | optimized geometry

Unit cell a=5.412 b=5.426 c=5.748 alpha=62.15 beta=62.51 gamma=60.29
Element x y z (fractional)
Pa (0.000, 0.000, 0.000)
V (0.497, 0.501, 0.505)
Fe (0.289, 0.307, 0.123)
Fe (0.796, 0.797, 0.614)
O (0.118, 0.402, 0.794)
O (0.217, 0.884, 0.296)
O (0.403, 0.707, 0.782)
O (0.591, 0.233, 0.290)
O (0.711, 0.110, 0.777)
O (0.873, 0.604, 0.304)

Computed properties:
energy = -80.87 eV/cell
space-group type = P1 (1)
DOS(E_F) = 0.0 states/eV/f.u.
size of the total moment = 9.999 Bohr magnetons per cell